The following is a GGA+U calculation of crystalline SbWO2 at its relaxed geometry, from Alexandria via LeMat-Bulk.

Calculated values
As for the space group: No. 122. As for the raw total energy: -23.853 eV/f.u.

```
8
Lattice="-5.356 -1.076 -2.266 -0.458 -4.835 3.377 -4.858 -0.398 3.952" Properties=species:S:1:pos:R:3 pbc="T T T"
O -6.640 -4.154 0.924
O -5.506 -1.554 -0.381
O -8.349 -1.435 1.118
O -5.748 -1.715 2.822
W 0.000 0.000 0.000
W -6.561 -2.215 1.121
Sb -4.111 -4.094 3.942
Sb -2.907 -2.955 0.555
```